# PBE AlSiPN4, relaxed
# final energy: -7.019 eV per atom
# V: 12.967 A^3/atom
# energy relative to the lowest polymorph listed for this composition: 602 meV per atom
data_AlSiPN4
_chemical_formula_sum 'Al2 Si2 P2 N8'
_cell_length_a 10.9684
_cell_length_b 3.1475
_cell_length_c 5.3587
_cell_angle_alpha 90.00
_cell_angle_beta 101.12
_cell_angle_gamma 90.00
_symmetry_space_group_name_H-M 'C 1 m 1'
_symmetry_Int_Tables_number 8
loop_
_symmetry_equiv_pos_as_xyz
'x,y,z'
'x,-y,z'
'x+1/2,y+1/2,z'
'x+1/2,-y+1/2,z'
loop_
_atom_site_label
_atom_site_type_symbol
_atom_site_fract_x
_atom_site_fract_y
_atom_site_fract_z
Al1 Al 0.0000 0.0000 0.0000
Si1 Si 0.3686 0.0000 0.5671
P1 P 0.1541 0.0000 0.5965
N1 N 0.0289 0.0000 0.3629
N2 N 0.1476 0.0000 0.8790
N3 N 0.4023 0.5000 0.4280
N4 N 0.4251 0.0000 0.8791

***

# PBE Ca2GaAuN, relaxed
# final energy: -4.316 eV per atom
# N(E_F): 1.68 states/eV/f.u.
# V: 19.759 A^3/atom
data_Ca2GaAuN
_chemical_formula_sum 'Ca2 Ga1 Au1 N1'
_cell_length_a 4.9072
_cell_length_b 4.9072
_cell_length_c 4.1027
_cell_angle_alpha 90.00
_cell_angle_beta 90.00
_cell_angle_gamma 90.00
_symmetry_space_group_name_H-M 'P 4/m m m'
_symmetry_Int_Tables_number 123
_symmetry_space_group_name_Hall '-P 4 2'
loop_
_atom_site_label
_atom_site_type_symbol
_atom_site_fract_x
_atom_site_fract_y
_atom_site_fract_z
Ca1 Ca 0.0000 0.5000 0.0000
Ga1 Ga 0.0000 0.0000 0.5000
Au1 Au 0.5000 0.5000 0.5000
N1 N 0.0000 0.0000 0.0000

***

# PBE BeZnBi2Br, relaxed
# final energy: -2.058 eV per atom
# N(E_F): 4.21 states/eV/f.u.
# V: 30.058 A^3/atom
data_BeZnBi2Br
_chemical_formula_sum 'Be1 Zn1 Bi2 Br1'
_cell_length_a 5.4387
_cell_length_b 5.4387
_cell_length_c 5.0810
_cell_angle_alpha 90.00
_cell_angle_beta 90.00
_cell_angle_gamma 90.00
_symmetry_space_group_name_H-M 'P 4/m m m'
_symmetry_Int_Tables_number 123
_symmetry_space_group_name_Hall '-P 4 2'
loop_
_atom_site_label
_atom_site_type_symbol
_atom_site_fract_x
_atom_site_fract_y
_atom_site_fract_z
Be1 Be 0.0000 0.0000 0.0000
Zn1 Zn 0.5000 0.5000 0.5000
Bi1 Bi 0.0000 0.5000 0.5000
Br1 Br 0.5000 0.5000 0.0000

***

# PBE AlCuBr2, relaxed
# final energy: -2.990 eV per atom
# N(E_F): 0.44 states/eV/f.u.
# V: 29.935 A^3/atom
# energy relative to the lowest polymorph listed for this composition: 171 meV per atom
data_AlCuBr2
_chemical_formula_sum 'Al2 Cu2 Br4'
_cell_length_a 3.4073
_cell_length_b 7.8046
_cell_length_c 9.0058
_cell_angle_alpha 90.00
_cell_angle_beta 90.00
_cell_angle_gamma 90.00
_symmetry_space_group_name_H-M 'I m m 2'
_symmetry_Int_Tables_number 44
loop_
_symmetry_equiv_pos_as_xyz
'x,y,z'
'-x,-y,z'
'-x,y,z'
'x,-y,z'
'x+1/2,y+1/2,z+1/2'
'-x+1/2,-y+1/2,z+1/2'
'-x+1/2,y+1/2,z+1/2'
'x+1/2,-y+1/2,z+1/2'
loop_
_atom_site_label
_atom_site_type_symbol
_atom_site_fract_x
_atom_site_fract_y
_atom_site_fract_z
Al1 Al 0.0000 0.0000 0.0000
Cu1 Cu 0.0000 0.5000 0.3026
Br1 Br 0.0000 0.0000 0.6060
Br2 Br 0.0000 0.5000 0.7107

***

# PBE BeCoAu, relaxed
# final energy: -4.536 eV per atom
# N(E_F): 4.19 states/eV/f.u.
# E_form: 16.1 kJ/mol of atoms
# V: 12.680 A^3/atom
# energy relative to the lowest polymorph listed for this composition: 152 meV per atom
data_BeCoAu
_chemical_formula_sum 'Be1 Co1 Au1'
_cell_length_a 3.9681
_cell_length_b 3.9681
_cell_length_c 2.7896
_cell_angle_alpha 90.00
_cell_angle_beta 90.00
_cell_angle_gamma 120.00
_symmetry_space_group_name_H-M 'P 3 m 1'
_symmetry_Int_Tables_number 156
loop_
_symmetry_equiv_pos_as_xyz
'x,y,z'
'-y,x-y,z'
'-x+y,-x,z'
'-y,-x,z'
'-x+y,y,z'
'x,x-y,z'
loop_
_atom_site_label
_atom_site_type_symbol
_atom_site_fract_x
_atom_site_fract_y
_atom_site_fract_z
Be1 Be 0.0000 0.0000 0.0000
Co1 Co 0.3333 0.6667 0.2560
Au1 Au 0.6667 0.3333 0.7366

***

# PBE TlCdIBr2, relaxed
# final energy: -2.397 eV per atom
# N(E_F): 0.00 states/eV/f.u.
# V: 42.325 A^3/atom
# energy relative to the lowest polymorph listed for this composition: 0 meV per atom
data_TlCdIBr2
_chemical_formula_sum 'Tl2 Cd2 I2 Br4'
_cell_length_a 8.0426
_cell_length_b 6.0592
_cell_length_c 8.7405
_cell_angle_alpha 90.00
_cell_angle_beta 96.44
_cell_angle_gamma 90.00
_symmetry_space_group_name_H-M 'P 1 21/m 1'
_symmetry_Int_Tables_number 11
loop_
_symmetry_equiv_pos_as_xyz
'x,y,z'
'-x,-y,-z'
'-x,y+1/2,-z'
'x,-y+1/2,z'
loop_
_atom_site_label
_atom_site_type_symbol
_atom_site_fract_x
_atom_site_fract_y
_atom_site_fract_z
Tl1 Tl 0.2207 0.2500 0.3706
Cd1 Cd 0.4110 0.2500 0.8391
I1 I 0.0735 0.2500 0.7387
Br1 Br 0.3997 0.7500 0.3873
Br2 Br 0.4540 0.7500 0.8702

***

# PBE Ce3Pm2HoSe6, relaxed
# final energy: -6.216 eV per atom
# N(E_F): 19.55 states/eV/f.u.
# V: 25.772 A^3/atom
data_Ce3Pm2HoSe6
_chemical_formula_sum 'Ce6 Pm4 Ho2 Se12'
_cell_length_a 7.2153
_cell_length_b 12.5054
_cell_length_c 7.2661
_cell_angle_alpha 90.00
_cell_angle_beta 109.36
_cell_angle_gamma 90.00
_symmetry_space_group_name_H-M 'C 1 2/m 1'
_symmetry_Int_Tables_number 12
loop_
_symmetry_equiv_pos_as_xyz
'x,y,z'
'-x,-y,-z'
'-x,y,-z'
'x,-y,z'
'x+1/2,y+1/2,z'
'-x+1/2,-y+1/2,-z'
'-x+1/2,y+1/2,-z'
'x+1/2,-y+1/2,z'
loop_
_atom_site_label
_atom_site_type_symbol
_atom_site_fract_x
_atom_site_fract_y
_atom_site_fract_z
Ce1 Ce 0.0000 0.0000 0.0000
Ce2 Ce 0.0000 0.3299 0.0000
Pm1 Pm 0.0000 0.1663 0.5000
Ho1 Ho 0.0000 0.5000 0.5000
Se1 Se 0.2432 0.5000 0.2530
Se2 Se 0.2438 0.3370 0.7434

***

# PBE Mn2HgRu, relaxed
# final energy: -6.606 eV per atom
# N(E_F): 3.76 states/eV/f.u.
# E_form: 36.0 kJ/mol of atoms
# V: 15.469 A^3/atom
data_Mn2HgRu
_chemical_formula_sum 'Mn4 Hg2 Ru2'
_cell_length_a 9.1529
_cell_length_b 2.8895
_cell_length_c 4.7759
_cell_angle_alpha 90.00
_cell_angle_beta 101.55
_cell_angle_gamma 90.00
_symmetry_space_group_name_H-M 'C 1 m 1'
_symmetry_Int_Tables_number 8
loop_
_symmetry_equiv_pos_as_xyz
'x,y,z'
'x,-y,z'
'x+1/2,y+1/2,z'
'x+1/2,-y+1/2,z'
loop_
_atom_site_label
_atom_site_type_symbol
_atom_site_fract_x
_atom_site_fract_y
_atom_site_fract_z
Mn1 Mn 0.0000 0.0000 0.0000
Mn2 Mn 0.2473 0.0000 0.7330
Hg1 Hg 0.2563 0.5000 0.2418
Ru1 Ru 0.0130 0.5000 0.5542

***

# PBE Er4TlSe2S, relaxed
# final energy: -5.333 eV per atom
# N(E_F): 3.05 states/eV/f.u.
# V: 24.237 A^3/atom
data_Er4TlSe2S
_chemical_formula_sum 'Er4 Tl1 Se2 S1'
_cell_length_a 7.1502
_cell_length_b 3.9972
_cell_length_c 7.1578
_cell_angle_alpha 90.00
_cell_angle_beta 108.60
_cell_angle_gamma 90.00
_symmetry_space_group_name_H-M 'P 1 2/m 1'
_symmetry_Int_Tables_number 10
loop_
_symmetry_equiv_pos_as_xyz
'x,y,z'
'-x,-y,-z'
'-x,y,-z'
'x,-y,z'
loop_
_atom_site_label
_atom_site_type_symbol
_atom_site_fract_x
_atom_site_fract_y
_atom_site_fract_z
Er1 Er 0.2358 0.0000 0.2392
Er2 Er 0.2373 0.5000 0.7442
Tl1 Tl 0.5000 0.0000 0.0000
Se1 Se 0.0000 0.0000 0.5000
Se2 Se 0.5000 0.5000 0.5000
S1 S 0.0000 0.5000 0.0000

***

# PBE LaTb4Dy10, relaxed
# final energy: -4.081 eV per atom
# N(E_F): 29.86 states/eV/f.u.
# E_form: 53.1 kJ/mol of atoms
# V: 35.851 A^3/atom
data_LaTb4Dy10
_chemical_formula_sum 'La2 Tb8 Dy20'
_cell_length_a 12.8151
_cell_length_b 12.8151
_cell_length_c 6.5490
_cell_angle_alpha 90.00
_cell_angle_beta 90.00
_cell_angle_gamma 90.00
_symmetry_space_group_name_H-M 'I 4/m'
_symmetry_Int_Tables_number 87
_symmetry_space_group_name_Hall '-I 4'
loop_
_atom_site_label
_atom_site_type_symbol
_atom_site_fract_x
_atom_site_fract_y
_atom_site_fract_z
La1 La 0.0000 0.0000 0.0000
Tb1 Tb 0.0671 0.8256 0.5000
Dy1 Dy 0.0000 0.5000 0.2500
Dy2 Dy 0.1293 0.2920 0.2491

***

# PBE Re2Tc2Cl, relaxed
# final energy: -8.812 eV per atom
# N(E_F): 3.53 states/eV/f.u.
# V: 18.473 A^3/atom
# energy relative to the lowest polymorph listed for this composition: 182 meV per atom
data_Re2Tc2Cl
_chemical_formula_sum 'Re4 Tc4 Cl2'
_cell_length_a 3.8652
_cell_length_b 3.8652
_cell_length_c 12.3648
_cell_angle_alpha 90.00
_cell_angle_beta 90.00
_cell_angle_gamma 90.00
_symmetry_space_group_name_H-M 'I 4/m m m'
_symmetry_Int_Tables_number 139
_symmetry_space_group_name_Hall '-I 4 2'
loop_
_atom_site_label
_atom_site_type_symbol
_atom_site_fract_x
_atom_site_fract_y
_atom_site_fract_z
Re1 Re 0.0000 0.5000 0.2500
Tc1 Tc 0.0000 0.0000 0.1166
Cl1 Cl 0.0000 0.0000 0.5000

***

# PBE Nd3Y3Th2, relaxed
# final energy: -6.035 eV per atom
# N(E_F): 9.81 states/eV/f.u.
# E_form: 3.1 kJ/mol of atoms
# V: 33.474 A^3/atom
data_Nd3Y3Th2
_chemical_formula_sum 'Nd6 Y6 Th4'
_cell_length_a 5.0874
_cell_length_b 5.1019
_cell_length_c 20.6349
_cell_angle_alpha 90.00
_cell_angle_beta 90.00
_cell_angle_gamma 90.00
_symmetry_space_group_name_H-M 'I m m m'
_symmetry_Int_Tables_number 71
_symmetry_space_group_name_Hall '-I 2 2'
loop_
_atom_site_label
_atom_site_type_symbol
_atom_site_fract_x
_atom_site_fract_y
_atom_site_fract_z
Nd1 Nd 0.0000 0.0000 0.0000
Nd2 Nd 0.0000 0.5000 0.1293
Y1 Y 0.0000 0.0000 0.5000
Y2 Y 0.0000 0.5000 0.3718
Th1 Th 0.0000 0.0000 0.2497

***

Theoretical density
In order: 2.60, 6.07, 6.32, 3.47, 11.56, 4.74, 7.24, 11.04, 9.11, 7.41, 10.86, 7.21
Unit: g/cm³